Record 1
PmHo2Pu: relaxed, PBE-GGA.

Cell: 3.5396 3.5396 34.3109 Å, 90.00 90.00 120.00°
Space group R3m (No. 160, hexagonal axes)
Asymmetric unit:
Pm1 0.0000 0.0000 0.0000 [3 per cell]
Ho1 0.0000 0.0000 0.2483 [3 per cell]
Ho2 0.0000 0.0000 0.4195 [3 per cell]
Pu1 0.0000 0.0000 0.8344 [3 per cell]

Results
Uncorrected energy: -6.956 eV per atom
ΔE_f: 0.104 eV/atom
Mass density: 9.62 Mg/m³

=====

Record 2
NbTlPb2O6: relaxed, PBE-GGA.

Cell: 5.874 5.994 10.230 Å, 90.00 124.85 90.00°
Space group P2_1/c (No. 14)
Asymmetric unit:
Nb1 0.000 0.000 0.000 [2 per cell]
Tl1 0.500 0.000 0.500 [2 per cell]
Pb1 0.258 0.035 0.752 [4 per cell]
O1 0.147 0.027 0.234 [4 per cell]
O2 0.232 0.722 0.047 [4 per cell]
O3 0.321 0.188 0.040 [4 per cell]

Results
Uncorrected formation energy: -1.495 eV/atom
Uncorrected energy: -6.455 eV per atom
Mass density: 9.08 Mg/m³

=====

Record 3
CaRePb2: relaxed, PBE-GGA.

Cell: 3.360 4.475 14.165 Å, 90.00 90.00 90.00°
Space group Imm2 (No. 44)
Asymmetric unit:
Ca1 0.000 0.000 0.000 [2 per cell]
Re1 0.000 0.500 0.692 [2 per cell]
Pb1 0.000 0.000 0.360 [2 per cell]
Pb2 0.000 0.500 0.174 [2 per cell]

Results
Uncorrected energy: -4.979 eV per atom
ΔE_f: 0.487 eV/atom
Mass density: 9.99 Mg/m³

=====

Record 4
La4Pm4Dy3: relaxed, PBE-GGA.

Cell: 3.672 9.634 22.111 Å, 90.00 90.00 90.00°
Space group Immm (No. 71)
Asymmetric unit:
La1 0.000 0.169 0.145 [8 per cell]
Pm1 0.000 0.312 0.000 [4 per cell]
Pm2 0.000 0.500 0.234 [4 per cell]
Dy1 0.000 0.000 0.397 [4 per cell]
Dy2 0.000 0.500 0.500 [2 per cell]

Results
Uncorrected energy: -4.658 eV per atom
ΔE_f: 0.116 eV/atom
Mass density: 6.89 Mg/m³

=====

Record 5
InSn2I5: relaxed, PBE-GGA.

Cell: 8.890 8.890 15.571 Å, 90.00 90.00 90.00°
Space group I4/mcm (No. 140)
Asymmetric unit:
In1 0.000 0.000 0.250 [4 per cell]
Sn1 0.172 0.328 0.000 [8 per cell]
I1 0.000 0.000 0.000 [4 per cell]
I2 0.159 0.341 0.361 [16 per cell]

Results
Uncorrected formation energy: -0.449 eV/atom
Uncorrected energy: -2.761 eV per atom
Mass density: 5.33 Mg/m³

=====

Record 6
Ga2HgH2: relaxed, PBE-GGA.

Cell: 3.446 3.446 12.762 Å, 90.00 90.00 90.00°
Space group I4/mmm (No. 139)
Asymmetric unit:
Ga1 0.000 0.000 0.158 [4 per cell]
Hg1 0.000 0.000 0.500 [2 per cell]
H1 0.000 0.500 0.250 [4 per cell]

Results
Uncorrected energy: -2.344 eV per atom
Mass density: 7.50 Mg/m³

=====

Record 7
Os7Ru: relaxed, PBE-GGA.

Cell: 7.708 7.708 7.708 Å, 90.00 90.00 90.00°
Space group Fm-3m (No. 225)
Asymmetric unit:
Os1 0.000 0.000 0.000 [4 per cell]
Os2 0.000 0.250 0.250 [24 per cell]
Ru1 0.000 0.000 0.500 [4 per cell]

Results
Uncorrected energy: -10.818 eV per atom
ΔE_f: 0.168 eV/atom
Mass density: 20.78 Mg/m³

=====

Record 8
ScTi: relaxed, PBE-GGA.

Cell: 5.381 6.212 9.791 Å, 90.00 90.00 90.00°
Space group P2_12_12_1 (No. 19)
Asymmetric unit:
Sc1 0.012 0.126 0.248 [4 per cell]
Sc2 0.165 0.381 0.505 [4 per cell]
Ti1 0.011 0.126 0.753 [4 per cell]
Ti2 0.167 0.869 0.505 [4 per cell]

Results
Uncorrected energy: -6.997 eV per atom
ΔE_f: 0.116 eV/atom
Mass density: 3.77 Mg/m³